DFT (PBE) results for a relaxed structure of K2AlHg.

The excess energy over the best structure of this formula in the dataset is 0.012 eV per atom. As for the formation energy: 0.1 eV/f.u.

Cell lengths 6.5272, 6.5272, 6.1167 Å; angles 62.26, 62.26, 42.29 degrees
Atoms (fractional coordinates):
K1 0.7798 0.7798 0.7192
K2 0.9671 0.9671 0.0334
Al1 0.5759 0.5759 0.4221
Hg1 0.1773 0.1773 0.3252